No. 1
Density functional theory data (PBE) for a relaxed Sm2GaPt6 crystal.

Its symmetry is C2/m, No. 12. The calculation puts the size of the total moment at 0.00 μB/cell. The formation enthalpy at 0 K is -971 meV/atom. As for the calculated volume: 18.84 Å³/atom. The calculation puts the total energy at -6.383 eV per atom. The value obtained for the density of states at the Fermi level is 3.3 states/eV/cell.

Cell lengths 5.641, 5.641, 6.314 Å; angles 101.90, 101.90, 60.33 degrees
Element x y z (fractional)
Sm1 0.145 0.145 0.357
Sm2 0.855 0.855 0.643
Ga1 0.500 0.500 0.500
Pt1 0.108 0.625 0.187
Pt2 0.375 0.892 0.813
Pt3 0.379 0.379 0.810
Pt4 0.621 0.621 0.190
Pt5 0.625 0.108 0.187
Pt6 0.892 0.375 0.813

=====

No. 2
Density functional theory data (PBE) for a relaxed SmGaPt4 crystal.

Its symmetry is F-43m, No. 216. Its excess energy over the best structure of this formula in the dataset is 26 meV per atom. The calculation puts the size of the total moment at 0.00 μB/cell. The formation enthalpy at 0 K is -771 meV/atom. As for the calculated volume: 18.51 Å³/atom. The calculation puts the total energy at -6.089 eV per atom. The value obtained for the density of states at the Fermi level is 2.1 states/eV/cell.

Cell lengths 5.395, 5.395, 5.395 Å; angles 60.00, 60.00, 60.00 degrees
Element x y z (fractional)
Sm1 0.000 0.000 0.000
Ga1 0.750 0.750 0.750
Pt1 0.376 0.376 0.376
Pt2 0.376 0.376 0.873
Pt3 0.376 0.873 0.376
Pt4 0.873 0.376 0.376

=====

No. 3
Density functional theory data (PBE) for a relaxed SmGaPt crystal.

Its symmetry is F-43m, No. 216. The calculation puts the size of the total moment at 0.00 μB/cell. The formation enthalpy at 0 K is -828 meV/atom. As for the calculated volume: 23.76 Å³/atom. The calculation puts the total energy at -5.424 eV per atom. The value obtained for the density of states at the Fermi level is 3.7 states/eV/cell.

Cell lengths 4.654, 4.654, 4.654 Å; angles 60.00, 60.00, 60.00 degrees
Element x y z (fractional)
Sm1 0.000 0.000 0.000
Ga1 0.500 0.500 0.500
Pt1 0.250 0.250 0.250

=====

No. 4
Density functional theory data (PBE) for a relaxed SmGa6Pt6 crystal.

Its symmetry is Immm, No. 71. The calculation puts the size of the total moment at 0.00 μB/cell. The formation enthalpy at 0 K is -597 meV/atom. As for the calculated volume: 16.53 Å³/atom. The calculation puts the total energy at -5.145 eV per atom. The value obtained for the density of states at the Fermi level is 5.7 states/eV/cell.

Cell lengths 6.928, 6.928, 6.928 Å; angles 135.42, 103.18, 93.43 degrees
Element x y z (fractional)
Sm1 0.000 0.000 0.000
Ga1 0.000 0.000 0.500
Ga2 0.000 0.500 0.000
Ga3 0.239 0.500 0.739
Ga4 0.500 0.000 0.000
Ga5 0.500 0.500 0.500
Ga6 0.761 0.500 0.261
Pt1 0.180 0.680 0.500
Pt2 0.337 0.000 0.337
Pt3 0.343 0.343 0.000
Pt4 0.657 0.657 0.000
Pt5 0.663 0.000 0.663
Pt6 0.820 0.320 0.500

=====

No. 5
Density functional theory data (PBE) for a relaxed Sm2GaPt4 crystal.

Its symmetry is Fmmm, No. 69. The calculation puts the size of the total moment at 0.00 μB/cell. The formation enthalpy at 0 K is -630 meV/atom. As for the calculated volume: 23.33 Å³/atom. The calculation puts the total energy at -5.863 eV per atom. The value obtained for the density of states at the Fermi level is 2.6 states/eV/cell.

Cell lengths 8.330, 7.926, 4.803 Å; angles 77.48, 68.26, 34.25 degrees
Element x y z (fractional)
Sm1 0.137 0.137 0.863
Sm2 0.863 0.863 0.137
Ga1 0.500 0.500 0.500
Pt1 0.000 0.000 0.500
Pt2 0.328 0.328 0.672
Pt3 0.500 0.500 0.000
Pt4 0.672 0.672 0.328

=====

No. 6
Density functional theory data (PBE) for a relaxed Sm2Ga4Pt5 crystal.

Its symmetry is Fmmm, No. 69. The calculation puts the size of the total moment at 0.00 μB/cell. The formation enthalpy at 0 K is -873 meV/atom. As for the calculated volume: 19.18 Å³/atom. The calculation puts the total energy at -5.578 eV per atom. The value obtained for the density of states at the Fermi level is 4.3 states/eV/cell.

Cell lengths 9.187, 8.335, 5.546 Å; angles 80.14, 63.36, 36.50 degrees
Element x y z (fractional)
Sm1 0.126 0.126 0.874
Sm2 0.874 0.874 0.126
Ga1 0.213 0.526 0.474
Ga2 0.474 0.787 0.213
Ga3 0.526 0.213 0.787
Ga4 0.787 0.474 0.526
Pt1 0.000 0.000 0.500
Pt2 0.250 0.250 0.250
Pt3 0.500 0.500 0.000
Pt4 0.500 0.500 0.500
Pt5 0.750 0.750 0.750